Entry 1:
The following is a PBE-GGA calculation of crystalline Ba6PIr at its relaxed geometry, from the Alexandria database.

Structure (extended XYZ):
```
16
Lattice="7.992 0.000 0.000 0.000 13.830 0.000 -0.019 0.000 7.983" Properties=species:S:1:pos:R:3 pbc="T T T"
Ba 1.196 2.075 1.936
Ba 1.196 11.756 1.936
Ba 1.595 6.915 1.929
Ba 2.381 0.000 6.053
Ba 2.780 4.841 6.047
Ba 2.780 8.990 6.047
Ba 5.192 4.841 1.936
Ba 5.192 8.990 1.936
Ba 5.591 0.000 1.929
Ba 6.377 6.915 6.053
Ba 6.776 2.075 6.047
Ba 6.776 11.756 6.047
P -0.010 0.000 3.991
P 3.986 6.915 3.991
Ir 0.000 0.000 0.000
Ir 3.996 6.915 0.000
```

Entry 2:
The following is a PBE-GGA calculation of crystalline Ba8PIr2 at its relaxed geometry, from the Alexandria database.

Structure (extended XYZ):
```
11
Lattice="8.017 -4.630 0.000 8.017 4.630 0.000 -0.008 0.000 7.772" Properties=species:S:1:pos:R:3 pbc="T T T"
Ba 2.627 0.000 5.946
Ba 6.698 2.347 5.946
Ba 9.329 2.347 1.826
Ba 5.340 0.000 2.150
Ba 10.686 0.000 5.622
Ba 6.698 -2.347 5.946
Ba 9.329 -2.347 1.826
Ba 13.399 0.000 1.825
P 0.000 0.000 0.000
Ir 5.339 0.000 7.074
Ir 10.687 0.000 0.698
```

Entry 3:
The following is a PBE-GGA calculation of crystalline BaPIr2 at its relaxed geometry, from the Alexandria database.

Structure (extended XYZ):
```
4
Lattice="3.134 0.000 0.000 0.000 3.568 0.000 -1.491 0.000 7.447" Properties=species:S:1:pos:R:3 pbc="T T T"
Ba 0.000 0.000 0.000
P -0.745 0.000 3.723
Ir 0.029 1.784 4.916
Ir 1.614 1.784 2.531
```

Entry 4:
The following is a PBE-GGA calculation of crystalline BaPIr2 at its relaxed geometry, from the Alexandria database.

Structure (extended XYZ):
```
8
Lattice="6.161 0.000 0.000 0.000 7.772 0.000 0.000 0.000 3.294" Properties=species:S:1:pos:R:3 pbc="T T T"
Ba 0.000 0.000 0.000
Ba 3.081 3.886 0.000
P 0.000 3.886 0.000
P 3.081 0.000 0.000
Ir 1.540 1.943 1.647
Ir 1.540 5.829 1.647
Ir 4.621 1.943 1.647
Ir 4.621 5.829 1.647
```

Entry 5:
The following is a PBE-GGA calculation of crystalline Ba2P2Ir at its relaxed geometry, from the Alexandria database.

Structure (extended XYZ):
```
10
Lattice="6.448 0.000 0.000 0.000 6.448 0.000 0.000 0.000 5.364" Properties=species:S:1:pos:R:3 pbc="T T T"
Ba 1.159 2.065 0.000
Ba 2.065 5.289 0.000
Ba 4.382 1.159 0.000
Ba 5.289 4.382 0.000
P 0.856 4.079 2.682
P 2.368 0.856 2.682
P 4.079 5.592 2.682
P 5.592 2.368 2.682
Ir 0.000 0.000 2.682
Ir 3.224 3.224 2.682
```

Entry 6:
The following is a PBE-GGA calculation of crystalline BaPIr2 at its relaxed geometry, from the Alexandria database.

Structure (extended XYZ):
```
4
Lattice="4.045 0.000 0.000 0.000 4.045 0.000 0.000 0.000 5.603" Properties=species:S:1:pos:R:3 pbc="T T T"
Ba 0.000 0.000 0.000
P 2.022 2.022 3.748
Ir 0.000 2.022 2.678
Ir 2.022 0.000 2.678
```

Entry 7:
The following is a PBE-GGA calculation of crystalline Ba8P2Ir at its relaxed geometry, from the Alexandria database.

Structure (extended XYZ):
```
11
Lattice="8.383 -4.429 0.000 8.383 4.429 0.000 -2.642 0.000 7.281" Properties=species:S:1:pos:R:3 pbc="T T T"
Ba 6.120 2.370 0.572
Ba 0.802 0.000 3.048
Ba 8.003 2.370 6.708
Ba 4.700 0.000 4.388
Ba 9.424 0.000 2.893
Ba 6.120 -2.370 0.572
Ba 13.322 0.000 4.232
Ba 8.003 -2.370 6.708
P 2.087 0.000 6.019
P 12.037 0.000 1.261
Ir 0.000 0.000 0.000
```

Entry 8:
The following is a PBE-GGA calculation of crystalline BaP2Ir2 at its relaxed geometry, from the Alexandria database.

Structure (extended XYZ):
```
10
Lattice="5.525 0.000 0.000 0.000 6.785 0.000 -2.597 0.000 5.730" Properties=species:S:1:pos:R:3 pbc="T T T"
Ba 0.000 0.000 0.000
Ba 2.763 3.393 0.000
P -0.179 3.393 1.990
P 0.345 0.000 3.740
P 2.583 0.000 1.990
P 3.108 3.393 3.740
Ir -1.298 1.469 2.865
Ir -1.298 5.316 2.865
Ir 1.464 1.924 2.865
Ir 1.464 4.862 2.865
```

Entry 9:
The following is a PBE-GGA calculation of crystalline BaPIr2 at its relaxed geometry, from the Alexandria database.

Structure (extended XYZ):
```
8
Lattice="4.157 0.000 0.000 0.000 6.145 0.000 0.000 0.000 7.799" Properties=species:S:1:pos:R:3 pbc="T T T"
Ba 0.000 0.000 0.000
Ba 2.078 3.073 3.900
P 0.000 3.073 1.219
P 2.078 0.000 5.119
Ir 0.000 0.000 4.287
Ir 0.000 3.073 6.637
Ir 2.078 0.000 2.737
Ir 2.078 3.073 0.387
```

Entry 10:
The following is a PBE-GGA calculation of crystalline BaP4Ir at its relaxed geometry, from the Alexandria database.

Structure (extended XYZ):
```
6
Lattice="0.000 4.019 4.019 4.019 0.000 4.019 4.019 4.019 0.000" Properties=species:S:1:pos:R:3 pbc="T T T"
Ba 0.000 0.000 0.000
P 3.224 3.224 3.224
P 4.815 4.815 3.224
P 4.815 3.224 4.815
P 3.224 4.815 4.815
Ir 6.029 6.029 6.029
```

Entry 11:
The following is a PBE-GGA calculation of crystalline BaPIr2 at its relaxed geometry, from the Alexandria database.

Structure (extended XYZ):
```
16
Lattice="5.149 0.000 0.000 0.000 5.149 0.000 0.000 0.000 15.405" Properties=species:S:1:pos:R:3 pbc="T T T"
Ba 0.000 1.287 5.777
Ba 0.000 3.862 9.628
Ba 2.575 1.287 1.926
Ba 2.575 3.862 13.479
P 0.000 1.287 13.479
P 0.000 3.862 1.926
P 2.575 1.287 9.628
P 2.575 3.862 5.777
Ir 0.000 0.000 0.000
Ir 0.000 2.575 0.000
Ir 1.287 1.287 11.554
Ir 1.287 3.862 3.851
Ir 2.575 0.000 7.702
Ir 2.575 2.575 7.702
Ir 3.862 1.287 11.554
Ir 3.862 3.862 3.851
```

Entry 12:
The following is a PBE-GGA calculation of crystalline BaPIr2 at its relaxed geometry, from the Alexandria database.

Structure (extended XYZ):
```
4
Lattice="3.020 0.000 0.000 0.000 3.020 0.000 0.000 0.000 8.174" Properties=species:S:1:pos:R:3 pbc="T T T"
Ba 0.000 0.000 0.000
P 0.000 0.000 4.087
Ir 1.510 1.510 2.688
Ir 1.510 1.510 5.487
```

These records have formation energy values of -328, -113, 56, 840, -534, -478, -385, -793, 100, 369, -393, 186 meV per atom, in the order they appear.